1.
First-principles (PBE) data for a relaxed HfSn2Au2 crystal, as listed in OQMD via LeMat-Bulk.

Cell lengths 4.296, 4.296, 12.347 Å; angles 90.00, 90.00, 90.00 degrees
Space group I4/mmm (No. 139)
Inequivalent atoms, fractional coordinates:
1 Hf 0.000 0.000 0.000
2 Sn 0.000 0.500 0.250
3 Au 0.000 0.000 0.395

Total moment, μB per cell: 0.12
Calculated density, g/cm³: 11.8
VASP energy, eV per atom: -4.747

2.
First-principles (PBE) data for a relaxed RbNbTl crystal, as listed in OQMD via LeMat-Bulk.

Cell lengths 7.988, 7.988, 7.988 Å; angles 90.00, 90.00, 90.00 degrees
Space group F-43m (No. 216)
Inequivalent atoms, fractional coordinates:
1 Rb 0.000 0.000 0.000
2 Nb 0.250 0.250 0.750
3 Tl 0.250 0.250 0.250

Total moment, μB per cell: 19.36
Calculated density, g/cm³: 5.0
VASP energy, eV per atom: -2.637

3.
First-principles (PBE) data for a relaxed HoHgGeTe3 crystal, as listed in OQMD via LeMat-Bulk.

Cell lengths 4.555, 15.631, 11.633 Å; angles 90.00, 90.00, 90.00 degrees
Space group Cmcm (No. 63)
Inequivalent atoms, fractional coordinates:
1 Ho 0.000 0.000 0.000
2 Hg 0.000 0.260 0.250
3 Ge 0.000 0.461 0.750
4 Te 0.000 0.066 0.750
5 Te 0.000 0.369 0.552

Total moment, μB per cell: 0.06
Calculated density, g/cm³: 6.6
VASP energy, eV per atom: -3.672

4.
First-principles (PBE) data for a relaxed Gd3Tl7 crystal, as listed in OQMD via LeMat-Bulk.

Cell lengths 4.648, 24.823, 4.705 Å; angles 90.00, 90.00, 90.00 degrees
Space group Cmmm (No. 65)
Inequivalent atoms, fractional coordinates:
1 Gd 0.000 0.000 0.000
2 Gd 0.000 0.192 0.000
3 Tl 0.000 0.099 0.500
4 Tl 0.000 0.295 0.500
5 Tl 0.000 0.402 0.000
6 Tl 0.000 0.500 0.500

Total moment, μB per cell: 0.01
Calculated density, g/cm³: 11.6
VASP energy, eV per atom: -3.326

5.
First-principles (PBE) data for a relaxed AlCuReTc crystal, as listed in OQMD via LeMat-Bulk.

Cell lengths 6.032, 6.032, 6.032 Å; angles 90.00, 90.00, 90.00 degrees
Space group F-43m (No. 216)
Inequivalent atoms, fractional coordinates:
1 Al 0.000 0.000 0.000
2 Cu 0.000 0.000 0.500
3 Re 0.250 0.250 0.750
4 Tc 0.250 0.250 0.250

Total moment, μB per cell: 0.35
Calculated density, g/cm³: 11.3
VASP energy, eV per atom: -7.334

6.
First-principles (PBE) data for a relaxed NdDy2Mg3Pt2Au crystal, as listed in OQMD via LeMat-Bulk.

Cell lengths 4.063, 13.054, 7.482 Å; angles 90.00, 90.00, 90.00 degrees
Space group Amm2 (No. 38)
Inequivalent atoms, fractional coordinates:
1 Nd 0.000 0.000 0.000
2 Dy 0.000 0.208 0.626
3 Mg 0.500 0.000 0.666
4 Mg 0.500 0.126 0.295
5 Pt 0.500 0.171 0.915
6 Au 0.000 0.000 0.423

Total moment, μB per cell: 0.07
Calculated density, g/cm³: 9.5
VASP energy, eV per atom: -4.628

7.
First-principles (PBE) data for a relaxed KPrNiTe3 crystal, as listed in OQMD via LeMat-Bulk.

Cell lengths 4.314, 17.013, 11.191 Å; angles 90.00, 90.00, 90.00 degrees
Space group Cmcm (No. 63)
Inequivalent atoms, fractional coordinates:
1 K 0.000 0.243 0.250
2 Pr 0.000 0.500 0.000
3 Ni 0.000 0.010 0.750
4 Te 0.000 0.122 0.597
5 Te 0.000 0.419 0.750

Total moment, μB per cell: 0.01
Calculated density, g/cm³: 5.0
VASP energy, eV per atom: -4.356

8.
First-principles (PBE) data for a relaxed HoCoCuSi2 crystal, as listed in OQMD via LeMat-Bulk.

Cell lengths 3.949, 3.949, 9.652 Å; angles 90.00, 90.00, 90.00 degrees
Space group I-4m2 (No. 119)
Inequivalent atoms, fractional coordinates:
1 Ho 0.000 0.000 0.000
2 Co 0.000 0.500 0.250
3 Cu 0.000 0.500 0.750
4 Si 0.000 0.000 0.376

Total moment, μB per cell: 0.90
Calculated density, g/cm³: 7.6
VASP energy, eV per atom: -5.895

9.
First-principles (PBE) data for a relaxed LuAlCoNi crystal, as listed in OQMD via LeMat-Bulk.

Cell lengths 6.272, 6.272, 6.272 Å; angles 90.00, 90.00, 90.00 degrees
Space group F-43m (No. 216)
Inequivalent atoms, fractional coordinates:
1 Lu 0.000 0.000 0.000
2 Al 0.250 0.250 0.250
3 Co 0.250 0.250 0.750
4 Ni 0.000 0.000 0.500

Total moment, μB per cell: 4.84
Calculated density, g/cm³: 8.6
VASP energy, eV per atom: -5.265

10.
First-principles (PBE) data for a relaxed Ho2ScS3 crystal, as listed in OQMD via LeMat-Bulk.

Cell lengths 3.8149, 3.8149, 9.3537 Å; angles 90.00, 90.00, 120.00 degrees
Space group P-3m1 (No. 164)
Inequivalent atoms, fractional coordinates:
1 Ho 0.3333 0.6667 0.1725
2 Sc 0.0000 0.0000 0.5000
3 S 0.0000 0.0000 0.0000
4 S 0.3333 0.6667 0.6545

Total moment, μB per cell: 0.00
Calculated density, g/cm³: 6.6
VASP energy, eV per atom: -6.578

11.
First-principles (PBE) data for a relaxed SbAu15 crystal, as listed in OQMD via LeMat-Bulk.

Cell lengths 5.765, 2.912, 42.934 Å; angles 90.00, 90.03, 90.00 degrees
Space group P2_1/m (No. 11)
Inequivalent atoms, fractional coordinates:
1 Sb 0.125 0.250 0.377
2 Au 0.120 0.250 0.678
3 Au 0.125 0.250 0.074
4 Au 0.125 0.250 0.173
5 Au 0.125 0.250 0.877
6 Au 0.125 0.250 0.975
7 Au 0.126 0.250 0.272
8 Au 0.126 0.250 0.777
9 Au 0.372 0.750 0.322
10 Au 0.375 0.750 0.025
11 Au 0.375 0.750 0.123
12 Au 0.375 0.750 0.628
13 Au 0.375 0.750 0.727
14 Au 0.375 0.750 0.827
15 Au 0.375 0.750 0.926
16 Au 0.377 0.750 0.223

Calculated density, g/cm³: 14.2
VASP energy, eV per atom: -3.278

12.
First-principles (PBE) data for a relaxed ErMgHg crystal, as listed in OQMD via LeMat-Bulk.

Cell lengths 6.802, 6.802, 6.802 Å; angles 90.00, 90.00, 90.00 degrees
Space group F-43m (No. 216)
Inequivalent atoms, fractional coordinates:
1 Er 0.000 0.000 0.000
2 Mg 0.250 0.250 0.250
3 Hg 0.000 0.000 0.500

Total moment, μB per cell: 0.01
Calculated density, g/cm³: 8.3
VASP energy, eV per atom: -2.037

13.
First-principles (PBE) data for a relaxed HfHgAu crystal, as listed in OQMD via LeMat-Bulk.

Cell lengths 3.487, 3.487, 9.905 Å; angles 90.00, 90.00, 90.00 degrees
Space group P4/nmm (No. 129, origin choice 2)
Inequivalent atoms, fractional coordinates:
1 Hf 0.250 0.250 0.224
2 Hg 0.250 0.250 0.591
3 Au 0.250 0.250 0.922

Total moment, μB per cell: 0.37
Calculated density, g/cm³: 15.9
Energy of formation from the pure elements, eV per atom: -0.179

14.
First-principles (PBE) data for a relaxed La2NiAu crystal, as listed in OQMD via LeMat-Bulk.

Cell lengths 4.649, 5.808, 7.524 Å; angles 90.00, 90.00, 90.00 degrees
Space group Pmc2_1 (No. 26)
Inequivalent atoms, fractional coordinates:
1 La 0.000 0.110 0.000
2 La 0.500 0.366 0.633
3 Ni 0.500 0.112 0.272
4 Au 0.000 0.389 0.349

Total moment, μB per cell: 0.00
Calculated density, g/cm³: 8.7
Energy of formation from the pure elements, eV per atom: -0.565

15.
First-principles (PBE) data for a relaxed MgBPd3 crystal, as listed in OQMD via LeMat-Bulk.

Cell lengths 8.391, 8.391, 8.324 Å; angles 90.00, 90.00, 90.00 degrees
Space group I4/mmm (No. 139)
Inequivalent atoms, fractional coordinates:
1 Mg 0.000 0.000 0.000
2 Mg 0.000 0.000 0.500
3 Mg 0.000 0.500 0.000
4 B 0.250 0.250 0.250
5 Pd 0.000 0.250 0.234
6 Pd 0.235 0.235 0.500

Calculated density, g/cm³: 8.0
VASP energy, eV per atom: -5.224

16.
First-principles (PBE) data for a relaxed PrErAsO crystal, as listed in OQMD via LeMat-Bulk.

Cell lengths 4.154, 8.004, 5.709 Å; angles 90.00, 90.00, 90.00 degrees
Space group Pmc2_1 (No. 26)
Inequivalent atoms, fractional coordinates:
1 Pr 0.000 0.122 0.000
2 Er 0.500 0.290 0.462
3 As 0.500 0.360 0.957
4 O 0.000 0.182 0.425

Total moment, μB per cell: 0.67
Calculated density, g/cm³: 7.0
VASP energy, eV per atom: -6.628

17.
First-principles (PBE) data for a relaxed Er4CuPt3 crystal, as listed in OQMD via LeMat-Bulk.

Cell lengths 5.526, 4.476, 6.964 Å; angles 90.00, 90.42, 90.00 degrees
Space group Pm (No. 6)
Inequivalent atoms, fractional coordinates:
1 Er 0.000 0.000 0.000
2 Er 0.218 0.000 0.497
3 Er 0.492 0.500 0.867
4 Er 0.720 0.500 0.357
5 Cu 0.721 0.000 0.643
6 Pt 0.202 0.500 0.226
7 Pt 0.517 0.000 0.137
8 Pt 0.992 0.500 0.715

Total moment, μB per cell: 0.00
Calculated density, g/cm³: 12.7
Energy of formation from the pure elements, eV per atom: -1.083

18.
First-principles (PBE) data for a relaxed PuHfSc crystal, as listed in OQMD via LeMat-Bulk.

Cell lengths 6.724, 6.724, 6.724 Å; angles 90.00, 90.00, 90.00 degrees
Space group F-43m (No. 216)
Inequivalent atoms, fractional coordinates:
1 Pu 0.000 0.000 0.000
2 Hf 0.250 0.250 0.250
3 Sc 0.000 0.000 0.500

Total moment, μB per cell: 24.30
Calculated density, g/cm³: 10.2
Energy of formation from the pure elements, eV per atom: 0.866

19.
First-principles (PBE) data for a relaxed KTe2PtAuSe crystal, as listed in OQMD via LeMat-Bulk.

Cell lengths 4.102, 15.020, 11.209 Å; angles 90.00, 90.00, 90.00 degrees
Space group Cmcm (No. 63)
Inequivalent atoms, fractional coordinates:
1 K 0.000 0.235 0.250
2 Te 0.000 0.116 0.518
3 Pt 0.000 0.500 0.000
4 Au 0.000 0.085 0.750
5 Se 0.000 0.462 0.750

Total moment, μB per cell: 0.04
Calculated density, g/cm³: 7.4
VASP energy, eV per atom: -3.703

20.
First-principles (PBE) data for a relaxed CdPtSO crystal, as listed in OQMD via LeMat-Bulk.

Cell lengths 5.766, 6.843, 7.514 Å; angles 90.00, 90.00, 90.00 degrees
Space group P2_12_12_1 (No. 19)
Inequivalent atoms, fractional coordinates:
1 Cd 0.157 0.066 0.335
2 Pt 0.184 0.542 0.761
3 S 0.250 0.343 0.995
4 O 0.132 0.092 0.630

Total moment, μB per cell: 0.01
Calculated density, g/cm³: 8.0
VASP energy, eV per atom: -4.247

21.
First-principles (PBE) data for a relaxed Nd4CoBr5 crystal, as listed in OQMD via LeMat-Bulk.

Cell lengths 19.088, 4.032, 8.681 Å; angles 90.00, 104.09, 90.00 degrees
Space group C2/m (No. 12)
Inequivalent atoms, fractional coordinates:
1 Nd 0.000 0.000 0.211
2 Nd 0.149 0.500 0.087
3 Co 0.000 0.500 0.000
4 Br 0.000 0.500 0.500
5 Br 0.166 0.000 0.346
6 Br 0.173 0.000 0.843

Total moment, μB per cell: 0.01
Calculated density, g/cm³: 5.3
VASP energy, eV per atom: -4.800

22.
First-principles (PBE) data for a relaxed AgTePO crystal, as listed in OQMD via LeMat-Bulk.

Cell lengths 4.331, 6.017, 5.875 Å; angles 90.00, 90.00, 90.00 degrees
Space group Pmc2_1 (No. 26)
Inequivalent atoms, fractional coordinates:
1 Ag 0.000 0.181 0.000
2 Te 0.500 0.271 0.449
3 P 0.500 0.314 0.880
4 O 0.000 0.217 0.421

Calculated density, g/cm³: 6.1
VASP energy, eV per atom: -4.175

23.
First-principles (PBE) data for a relaxed Lu3GeN2 crystal, as listed in OQMD via LeMat-Bulk.

Cell lengths 3.3805, 3.3805, 19.4767 Å; angles 90.00, 90.00, 120.00 degrees
Space group P6_3/mmc (No. 194)
Inequivalent atoms, fractional coordinates:
1 Lu 0.0000 0.0000 0.0000
2 Lu 0.3333 0.6667 0.1357
3 Ge 0.0000 0.0000 0.2500
4 N 0.3333 0.6667 0.5721

Total moment, μB per cell: 0.00
Calculated density, g/cm³: 10.8
VASP energy, eV per atom: -7.268